1.
Compound: ThNpCo2
Source: the Alexandria database
Functional: PBE-GGA
Structure: optimized geometry

Properties
N(E_F)	1.2434	states/eV per atom
uncorrected energy	-34.98	eV for the cell shown
ΔE_f	-0.102	eV/atom

Geometry as extended XYZ:
```
4
Lattice="2.105 1.215 5.091 -2.105 1.215 5.091 0.000 -2.431 5.091" Properties=species:S:1:pos:R:3 pbc="T T T"
Th 0.000 0.000 0.000
Np 0.000 0.000 7.637
Co 0.000 0.000 3.241
Co 0.000 0.000 12.032
```

2.
Compound: ThNp2Co9
Source: the Alexandria database
Functional: PBE-GGA
Structure: optimized geometry

Properties
N(E_F)	1.7067	states/eV per atom
uncorrected energy	-98.76	eV for the cell shown
ΔE_f	-0.125	eV/atom

Geometry as extended XYZ:
```
12
Lattice="2.443 1.410 8.196 -2.443 1.410 8.196 0.000 -2.821 8.196" Properties=species:S:1:pos:R:3 pbc="T T T"
Th 0.000 0.000 0.000
Np 0.000 0.000 3.451
Np 0.000 0.000 21.137
Co -1.223 -0.706 10.244
Co 0.000 0.000 8.198
Co 0.000 -1.412 14.344
Co -1.223 0.706 14.344
Co 0.000 0.000 12.294
Co 1.223 -0.706 10.244
Co 0.000 1.412 10.244
Co 0.000 0.000 16.390
Co 1.223 0.706 14.344
```

3.
Compound: ThNpCo
Source: the Alexandria database
Functional: PBE-GGA
Structure: optimized geometry

Properties
N(E_F)	1.7038	states/eV per atom
uncorrected energy	-53.75	eV for the cell shown
ΔE_f	0.197	eV/atom

Geometry as extended XYZ:
```
6
Lattice="1.856 1.072 10.782 -1.856 1.072 10.782 0.000 -2.144 10.782" Properties=species:S:1:pos:R:3 pbc="T T T"
Th 0.000 0.000 3.138
Th 0.000 0.000 29.207
Np 0.000 0.000 11.325
Np 0.000 0.000 21.020
Co 0.000 0.000 6.034
Co 0.000 0.000 26.311
```

4.
Compound: NpTiCo2
Source: the Alexandria database
Functional: PBE-GGA
Structure: optimized geometry

Properties
N(E_F)	1.5904	states/eV per atom
uncorrected energy	-35.39	eV for the cell shown
ΔE_f	-0.085	eV/atom

Geometry as extended XYZ:
```
4
Lattice="2.934 0.000 0.000 0.000 2.934 0.000 0.000 0.000 6.904" Properties=species:S:1:pos:R:3 pbc="T T T"
Np 0.000 0.000 0.000
Ti 0.000 0.000 3.452
Co 1.467 1.467 2.027
Co 1.467 1.467 4.877
```

5.
Compound: NpTiCo
Source: the Alexandria database
Functional: PBE-GGA
Structure: optimized geometry

Properties
N(E_F)	1.9052	states/eV per atom
uncorrected energy	-54.84	eV for the cell shown
ΔE_f	0.174	eV/atom

Geometry as extended XYZ:
```
6
Lattice="0.000 3.302 5.800 2.564 0.000 5.800 2.564 3.302 0.000" Properties=species:S:1:pos:R:3 pbc="T T T"
Np 2.564 1.184 5.800
Np 2.564 5.419 5.800
Ti 1.282 1.651 2.900
Ti 3.846 4.952 8.700
Co 2.564 3.302 4.498
Co 2.564 3.302 7.101
```

6.
Compound: NpTlCo4
Source: the Alexandria database
Functional: PBE-GGA
Structure: optimized geometry

Properties
N(E_F)	1.2604	states/eV per atom
uncorrected energy	-43.18	eV for the cell shown
ΔE_f	0.091	eV/atom

Geometry as extended XYZ:
```
6
Lattice="0.000 3.533 3.533 3.533 0.000 3.533 3.533 3.533 0.000" Properties=species:S:1:pos:R:3 pbc="T T T"
Np 0.000 0.000 0.000
Tl 5.300 5.300 5.300
Co 2.656 2.656 2.656
Co 4.411 4.411 2.656
Co 4.411 2.656 4.411
Co 2.656 4.411 4.411
```

7.
Compound: TmNpCo4
Source: the Alexandria database
Functional: PBE-GGA
Structure: optimized geometry

Properties
N(E_F)	1.1985	states/eV per atom
uncorrected energy	-46.72	eV for the cell shown
ΔE_f	-0.148	eV/atom

Geometry as extended XYZ:
```
6
Lattice="0.000 3.533 3.533 3.533 0.000 3.533 3.533 3.533 0.000" Properties=species:S:1:pos:R:3 pbc="T T T"
Tm 0.000 0.000 0.000
Np 5.299 5.299 5.299
Co 2.651 2.651 2.651
Co 4.415 4.415 2.651
Co 4.415 2.651 4.415
Co 2.651 4.415 4.415
```

8.
Compound: TmNpCo2
Source: the Alexandria database
Functional: PBE-GGA
Structure: optimized geometry

Properties
N(E_F)	1.8084	states/eV per atom
uncorrected energy	-31.67	eV for the cell shown
ΔE_f	-0.010	eV/atom

Geometry as extended XYZ:
```
4
Lattice="3.242 0.000 0.000 0.000 3.242 0.000 0.000 0.000 6.708" Properties=species:S:1:pos:R:3 pbc="T T T"
Tm 0.000 0.000 0.000
Np 0.000 0.000 3.354
Co 1.621 1.621 1.885
Co 1.621 1.621 4.824
```

9.
Compound: TmNpCo2
Source: the Alexandria database
Functional: PBE-GGA
Structure: optimized geometry

Properties
N(E_F)	1.7156	states/eV per atom
uncorrected energy	-31.26	eV for the cell shown
ΔE_f	0.090	eV/atom

Geometry as extended XYZ:
```
4
Lattice="1.811 1.045 6.596 -1.811 1.045 6.596 0.000 -2.091 6.596" Properties=species:S:1:pos:R:3 pbc="T T T"
Tm 0.000 0.000 0.000
Np 0.000 0.000 9.894
Co 0.000 0.000 4.741
Co 0.000 0.000 15.048
```

10.
Compound: NpV2Co
Source: the Alexandria database
Functional: PBE-GGA
Structure: optimized geometry

Properties
N(E_F)	3.0155	states/eV per atom
uncorrected energy	-36.96	eV for the cell shown
ΔE_f	0.332	eV/atom

Geometry as extended XYZ:
```
4
Lattice="0.000 3.054 3.054 3.054 0.000 3.054 3.054 3.054 0.000" Properties=species:S:1:pos:R:3 pbc="T T T"
Np 0.000 0.000 0.000
V 1.527 1.527 1.527
V 4.582 4.582 4.582
Co 3.054 3.054 3.054
```

11.
Compound: NpVCo
Source: the Alexandria database
Functional: PBE-GGA
Structure: optimized geometry

Properties
N(E_F)	1.7321	states/eV per atom
uncorrected energy	-28.68	eV for the cell shown
ΔE_f	0.163	eV/atom

Geometry as extended XYZ:
```
3
Lattice="-1.379 1.379 5.794 1.379 -1.379 5.794 1.379 1.379 -5.794" Properties=species:S:1:pos:R:3 pbc="T T T"
Np 0.000 0.000 0.000
V 0.000 0.000 7.989
Co 0.000 0.000 3.644
```

12.
Compound: NpV2Co
Source: the Alexandria database
Functional: PBE-GGA
Structure: optimized geometry

Properties
N(E_F)	1.4766	states/eV per atom
uncorrected energy	-36.93	eV for the cell shown
ΔE_f	0.337	eV/atom

Geometry as extended XYZ:
```
4
Lattice="3.137 0.000 0.000 0.000 3.137 0.000 0.000 0.000 5.782" Properties=species:S:1:pos:R:3 pbc="T T T"
Np 0.000 0.000 0.000
V 1.568 1.568 1.472
V 1.568 1.568 4.310
Co 0.000 0.000 2.891
```

13.
Compound: NpV2Co
Source: the Alexandria database
Functional: PBE-GGA
Structure: optimized geometry

Properties
N(E_F)	1.8639	states/eV per atom
uncorrected energy	-37.34	eV for the cell shown
ΔE_f	0.235	eV/atom

Geometry as extended XYZ:
```
4
Lattice="4.441 0.000 0.000 0.000 4.441 0.000 0.000 0.000 2.855" Properties=species:S:1:pos:R:3 pbc="T T T"
Np 0.000 0.000 0.000
V 0.000 2.221 1.428
V 2.221 0.000 1.428
Co 2.221 2.221 0.000
```

14.
Compound: NpVCo
Source: the Alexandria database
Functional: PBE-GGA
Structure: optimized geometry

Properties
N(E_F)	1.5491	states/eV per atom
uncorrected energy	-56.68	eV for the cell shown
ΔE_f	0.276	eV/atom

Geometry as extended XYZ:
```
6
Lattice="3.738 0.000 0.000 0.000 3.541 0.000 -0.701 0.000 6.994" Properties=species:S:1:pos:R:3 pbc="T T T"
Np 0.473 0.885 0.708
Np 2.563 2.655 6.286
V 0.511 0.885 4.922
V 2.525 2.655 2.072
Co 0.617 2.655 3.449
Co 2.420 0.885 3.545
```

15.
Compound: Y2NpCo2
Source: the Alexandria database
Functional: PBE-GGA
Structure: optimized geometry

Properties
N(E_F)	2.2231	states/eV per atom
uncorrected energy	-81.21	eV for the cell shown
ΔE_f	-0.105	eV/atom

Geometry as extended XYZ:
```
10
Lattice="5.059 -2.965 0.000 5.059 2.965 0.000 -1.284 0.000 6.949" Properties=species:S:1:pos:R:3 pbc="T T T"
Y 1.345 0.659 1.029
Y 0.703 -0.659 4.503
Y 8.131 0.659 2.446
Y 7.489 -0.659 5.921
Np 4.738 0.488 1.737
Np 4.096 -0.488 5.212
Co 2.988 0.834 3.398
Co 2.346 -0.834 6.872
Co 6.488 0.834 0.077
Co 5.846 -0.834 3.552
```

16.
Compound: YNpCo10
Source: the Alexandria database
Functional: PBE-GGA
Structure: optimized geometry

Properties
N(E_F)	1.4912	states/eV per atom
uncorrected energy	-91.32	eV for the cell shown
ΔE_f	-0.072	eV/atom

Geometry as extended XYZ:
```
12
Lattice="3.982 0.000 0.000 0.000 4.894 0.000 0.000 0.000 8.387" Properties=species:S:1:pos:R:3 pbc="T T T"
Y 0.000 0.000 0.000
Np 0.000 2.447 4.193
Co 0.000 0.000 2.889
Co 0.000 0.000 5.497
Co 0.000 2.447 1.566
Co 0.000 2.447 6.821
Co 1.991 0.000 4.193
Co 1.991 1.213 2.100
Co 1.991 1.213 6.287
Co 1.991 2.447 0.000
Co 1.991 3.681 2.100
Co 1.991 3.681 6.287
```

17.
Compound: Y3NpCo8
Source: the Alexandria database
Functional: PBE-GGA
Structure: optimized geometry

Properties
N(E_F)	1.3452	states/eV per atom
uncorrected energy	-90.76	eV for the cell shown
ΔE_f	-0.131	eV/atom

Geometry as extended XYZ:
```
12
Lattice="2.530 1.461 8.243 -2.530 1.461 8.243 0.000 -2.922 8.243" Properties=species:S:1:pos:R:3 pbc="T T T"
Y 0.000 0.000 0.000
Y 0.000 0.000 3.100
Y 0.000 0.000 15.457
Np 0.000 0.000 12.367
Co 0.000 -1.459 5.645
Co -1.264 0.729 5.645
Co -1.254 -0.724 9.823
Co 0.000 0.000 7.738
Co 1.264 0.729 5.645
Co 1.254 -0.724 9.823
Co 0.000 1.448 9.823
Co 0.000 0.000 20.110
```

18.
Compound: NpZnCo
Source: the Alexandria database
Functional: PBE-GGA
Structure: optimized geometry

Properties
N(E_F)	1.3435	states/eV per atom
uncorrected energy	-81.21	eV for the cell shown
ΔE_f	0.340	eV/atom

Geometry as extended XYZ:
```
12
Lattice="8.834 0.000 0.000 0.000 8.834 0.000 0.000 0.000 2.715" Properties=species:S:1:pos:R:3 pbc="T T T"
Np 0.024 1.852 0.000
Np 1.852 8.810 1.357
Np 6.983 0.024 1.357
Np 8.810 6.983 0.000
Zn 1.366 4.489 1.357
Zn 4.346 1.366 0.000
Zn 4.489 7.469 0.000
Zn 7.469 4.346 1.357
Co 2.180 2.573 0.000
Co 2.573 6.654 1.357
Co 6.262 2.180 1.357
Co 6.654 6.262 0.000
```

19.
Compound: Np2Zn2Co15
Source: the Alexandria database
Functional: PBE-GGA
Structure: optimized geometry

Properties
N(E_F)	1.3840	states/eV per atom
uncorrected energy	-135.33	eV for the cell shown
ΔE_f	-0.016	eV/atom

Geometry as extended XYZ:
```
19
Lattice="4.148 2.395 4.051 -4.148 2.395 4.051 0.000 -4.790 4.051" Properties=species:S:1:pos:R:3 pbc="T T T"
Np 0.000 0.000 1.830
Np 0.000 0.000 10.322
Zn 0.000 0.000 4.847
Zn 0.000 0.000 7.305
Co -2.074 -1.197 4.051
Co 0.000 -2.422 3.834
Co -2.098 1.211 3.834
Co -1.223 -2.119 6.076
Co -2.447 0.000 6.076
Co -2.098 -1.211 8.318
Co -2.074 1.197 8.101
Co 1.223 -2.119 6.076
Co 0.000 2.395 4.051
Co -1.223 2.119 6.076
Co 2.098 1.211 3.834
Co 2.447 0.000 6.076
Co 1.223 2.119 6.076
Co 2.098 -1.211 8.318
Co 0.000 2.422 8.318
```

20.
Compound: NpZnCo
Source: the Alexandria database
Functional: PBE-GGA
Structure: optimized geometry

Properties
N(E_F)	1.6401	states/eV per atom
uncorrected energy	-21.03	eV for the cell shown
ΔE_f	0.096	eV/atom

Geometry as extended XYZ:
```
3
Lattice="-1.410 1.410 5.846 1.410 -1.410 5.846 1.410 1.410 -5.846" Properties=species:S:1:pos:R:3 pbc="T T T"
Np 0.000 0.000 0.000
Zn 0.000 0.000 3.414
Co 0.000 0.000 7.709
```